Compound: SnHg2O
Source: Alexandria via LeMat-Bulk
Functional: PBE-GGA
Structure: relaxed

Unit cell a=6.743 b=6.743 c=8.364 alpha=90.00 beta=90.00 gamma=90.00
Space group I-42d (No. 122)
Unique sites:
Sn 0.000 0.000 0.000 [4 per cell]
Hg 0.182 0.750 0.625 [8 per cell]
O 0.000 0.000 0.500 [4 per cell]

Values from the calculation:
**Energy relative to the lowest polymorph listed for this composition**: 0.0 meV per atom
**Formation energy without anion corrections**: 1.4 kJ/mol of atoms